Record 1
Density functional theory data (PBE) for a geometry-optimized ReMoRu structure.

Results
**Electronic total energy**: -63.9 eV for the cell shown
**Total moment**: 0.000 μB/cell
**Formation energy**: 210 meV per atom
**Volume**: 15.51 Å³ per atom

Cell and atoms, written as POSCAR:
```
ReMoRu
1.0
4.406 -2.524 0.000
4.406 2.524 0.000
-3.021 0.000 4.185
Re Mo Ru
2 2 2
Cartesian
0.600 0.000 2.030
5.192 0.000 2.154
2.924 1.350 0.518
2.868 1.350 3.666
2.896 -1.091 2.092
4.406 -1.097 0.000
```

Record 2
Density functional theory data (PBE) for a geometry-optimized Th8CoC3S4 structure.

Results
**Electronic total energy**: -128.5 eV for the cell shown
**Formation energy from raw total energies**: -1.118 eV/atom
**Total moment**: 0.000 μB/cell
**Volume**: 22.00 Å³ per atom

Cell and atoms, written as POSCAR:
```
Th8CoC3S4
1.0
3.906 2.255 6.659
-3.906 2.255 6.659
0.000 -4.510 6.659
Th Co C S
8 1 3 4
Cartesian
-2.009 -1.160 11.448
0.000 0.000 4.756
0.000 -2.319 8.529
-2.009 1.160 8.529
2.009 -1.160 11.448
0.000 2.319 11.448
0.000 0.000 15.222
2.009 1.160 8.529
0.000 0.000 9.989
-3.906 0.000 9.989
-1.953 1.128 3.330
1.953 1.128 3.330
0.000 0.000 0.000
-1.953 -1.128 6.659
-1.953 1.128 13.318
0.000 2.255 6.659
```

Record 3
Density functional theory data (PBE) for a geometry-optimized PmRh structure.

Results
**Electronic total energy**: -13.2 eV for the cell shown
**Total moment**: 0.000 μB/cell
**Formation energy**: -525 meV per atom
**Volume**: 23.90 Å³ per atom

Cell and atoms, written as POSCAR:
```
PmRh
1.0
0.000 2.880 2.880
2.880 0.000 2.880
2.880 2.880 0.000
Pm Rh
1 1
Cartesian
0.000 0.000 0.000
2.880 2.880 2.880
```

Record 4
Density functional theory data (PBE) for a geometry-optimized ScTl2Pt structure.

Results
**Electronic total energy**: -18.1 eV for the cell shown
**Total moment**: 0.000 μB/cell
**Formation energy**: -252 meV per atom
**Volume**: 21.53 Å³ per atom

Cell and atoms, written as POSCAR:
```
ScTl2Pt
1.0
4.320 0.000 0.000
0.000 4.343 0.000
0.000 0.000 4.590
Sc Tl Pt
1 2 1
Cartesian
0.000 0.000 0.000
0.000 2.171 2.295
2.160 0.000 2.295
2.160 2.171 0.000
```